Entry 1:
{"formula": "LaTcTe2", "functional": "GGA-PBE", "state": "optimized geometry", "final_energy_ev_per_atom": -5.50, "dos_at_fermi_per_ev_atom": 1.263, "raw_formation_energy_mev_per_atom": -110, "lattice": [[4.4247, 0.0000, 0.0000], [0.0000, 4.4247, 0.0000], [0.0000, 0.0000, 10.6646]], "species": ["La", "La", "Tc", "Tc", "Te", "Te", "Te", "Te"], "frac_coords": [[0.0000, 0.0000, 0.0000], [0.5000, 0.5000, 0.5000], [0.0000, 0.5000, 0.7500], [0.5000, 0.0000, 0.2500], [0.0000, 0.0000, 0.5000], [0.0000, 0.5000, 0.2500], [0.5000, 0.0000, 0.7500], [0.5000, 0.5000, 0.0000]]}



Entry 2:
{"formula": "Ni2HPd", "functional": "GGA-PBE", "state": "optimized geometry", "final_energy_ev_per_atom": -5.01, "dos_at_fermi_per_ev_atom": 1.685, "lattice": [[2.6738, 0.0000, 0.0000], [-1.3369, 2.3156, 0.0000], [0.0000, 0.0000, 19.1881]], "species": ["Ni", "Ni", "Ni", "Ni", "Ni", "Ni", "H", "H", "H", "Pd", "Pd", "Pd"], "frac_coords": [[0.0000, 0.0000, 0.0000], [0.0000, 0.0000, 0.2268], [0.3333, 0.6667, 0.6667], [0.3333, 0.6667, 0.8935], [0.6667, 0.3333, 0.3333], [0.6667, 0.3333, 0.5602], [0.0000, 0.0000, 0.6150], [0.3333, 0.6667, 0.2817], [0.6667, 0.3333, 0.9484], [0.0000, 0.0000, 0.4472], [0.3333, 0.6667, 0.1139], [0.6667, 0.3333, 0.7805]]}



Entry 3:
{"formula": "Nd2Sm7Ho3", "functional": "GGA-PBE", "state": "optimized geometry", "e_form_kj_per_mol_atoms": 11, "final_energy_ev_per_atom": -4.58, "dos_at_fermi_per_ev_atom": 1.579, "lattice": [[2.8924, -19.1450, 0.0000], [2.8924, 19.1450, 0.0000], [0.0000, 0.0000, 3.6453]], "species": ["Nd", "Nd", "Sm", "Sm", "Sm", "Sm", "Sm", "Sm", "Sm", "Ho", "Ho", "Ho"], "frac_coords": [[0.1481, 0.8519, 0.0000], [0.8519, 0.1481, 0.0000], [0.0000, 0.0000, 0.0000], [0.0715, 0.9285, 0.5000], [0.2312, 0.7688, 0.0000], [0.4096, 0.5904, 0.0000], [0.5904, 0.4096, 0.0000], [0.7688, 0.2312, 0.0000], [0.9285, 0.0715, 0.5000], [0.3145, 0.6855, 0.5000], [0.5000, 0.5000, 0.5000], [0.6855, 0.3145, 0.5000]]}



Entry 4:
{"formula": "BeBOs2Cl", "functional": "GGA-PBE", "state": "optimized geometry", "final_energy_ev_per_atom": -4.74, "dos_at_fermi_per_ev_atom": 0.536, "raw_formation_energy_mev_per_atom": 2204, "lattice": [[4.4405, 0.0000, 0.0000], [0.0000, 4.4405, 0.0000], [0.0000, 0.0000, 3.4837]], "species": ["Be", "B", "Os", "Os", "Cl"], "frac_coords": [[0.0000, 0.0000, 0.0000], [0.5000, 0.5000, 0.0000], [0.0000, 0.5000, 0.5000], [0.5000, 0.0000, 0.5000], [0.5000, 0.5000, 0.5000]]}